Entry 1:
Sr2SiCl after structural relaxation. Source: Alexandria, functional PBE-GGA.

## Properties
V ... 385 Å³/cell
Crystal system ... trigonal
ΔE to the lowest computed polymorph ... 1.3 kJ/mol of atoms
Total moment ... 0.000 μB per formula unit
Formation energy (no corrections) ... -1.043 eV per atom

Unit cell a=4.3800 b=4.3800 c=23.1481 alpha=90.00 beta=90.00 gamma=120.00
With the nearest neighbours (Å) after each atom.
Space group R-3m (No. 166, hexagonal axes)
Unique sites:
Sr 0.0000 0.0000 0.2450 (multiplicity 6)  3 Si 3.11, 3 Cl 3.25
Si 0.0000 0.0000 0.5000 (multiplicity 3)  6 Sr 3.11
Cl 0.0000 0.0000 0.0000 (multiplicity 3)  6 Sr 3.25

=====

Entry 2:
SrSi2Cl after structural relaxation. Source: Alexandria, functional PBE-GGA.

## Properties
V ... 220 Å³/cell
Crystal system ... orthorhombic
ΔE to the lowest computed polymorph ... 32.9 kJ/mol of atoms
Total moment ... 0.000 μB per formula unit
Formation energy (no corrections) ... -0.448 eV per atom

Unit cell a=3.9487 b=6.5083 c=8.5517 alpha=90.00 beta=90.00 gamma=90.00
With the nearest neighbours (Å) after each atom.
Space group Imm2 (No. 44)
Unique sites:
Sr 0.0000 0.0000 0.0000 (multiplicity 2)  2 Cl 2.82
Si 0.0000 0.0000 0.4447 (multiplicity 2)  2 Si 2.30
Si 0.0000 0.5000 0.8073 (multiplicity 2)  2 Si 2.30
Cl 0.0000 0.5000 0.2649 (multiplicity 2)  2 Sr 2.82

=====

Entry 3:
SrSi2Cl after structural relaxation. Source: Alexandria, functional PBE-GGA.

## Properties
V ... 395 Å³/cell
Crystal system ... cubic
ΔE to the lowest computed polymorph ... 117.8 kJ/mol of atoms
Total moment ... 0.000 μB per formula unit
Formation energy (no corrections) ... 0.432 eV per atom

Unit cell a=7.3348 b=7.3348 c=7.3348 alpha=90.00 beta=90.00 gamma=90.00
With the nearest neighbours (Å) after each atom.
Space group Fm-3m (No. 225)
Unique sites:
Sr 0.0000 0.0000 0.0000 (multiplicity 4)  8 Si 3.18
Si 0.2500 0.2500 0.2500 (multiplicity 8)  4 Sr 3.18, 4 Cl 3.18
Cl 0.0000 0.0000 0.5000 (multiplicity 4)  8 Si 3.18